An optimized crystal structure of NaCd2GaNi, computed with PBE.

The structure in CIF format:
```
data_NaCd2GaNi
_chemical_formula_sum 'Na1 Cd2 Ga1 Ni1'
_cell_length_a 5.043
_cell_length_b 5.043
_cell_length_c 4.562
_cell_angle_alpha 90.00
_cell_angle_beta 90.00
_cell_angle_gamma 90.00
_symmetry_space_group_name_H-M 'P 4/m m m'
_symmetry_Int_Tables_number 123
_symmetry_space_group_name_Hall '-P 4 2'
loop_
_atom_site_label
_atom_site_type_symbol
_atom_site_fract_x
_atom_site_fract_y
_atom_site_fract_z
_atom_site_occupancy
Na1 Na 0.000 0.000 0.000 1
Cd1 Cd 0.000 0.500 0.500 1
Ga1 Ga 0.500 0.500 0.000 1
Ni1 Ni 0.500 0.500 0.500 1
```

Values from the calculation:
Electronic total energy   -12.3 eV per formula unit
Energy of formation from the pure elements   -0.070 eV per atom

---

An optimized crystal structure of Pm2NpSi3Pt12, computed with PBE.

The structure in CIF format:
```
data_Pm2NpSi3Pt12
_chemical_formula_sum 'Pm6 Np3 Si9 Pt36'
_cell_length_a 8.2294
_cell_length_b 8.2294
_cell_length_c 18.6719
_cell_angle_alpha 90.00
_cell_angle_beta 90.00
_cell_angle_gamma 120.00
_symmetry_space_group_name_H-M 'R -3 m'
_symmetry_Int_Tables_number 166
_symmetry_space_group_name_Hall '-R 3 2"'
loop_
_atom_site_label
_atom_site_type_symbol
_atom_site_fract_x
_atom_site_fract_y
_atom_site_fract_z
_atom_site_occupancy
Pm1 Pm 0.0000 0.0000 0.0987 1
Np1 Np 0.0000 0.0000 0.5000 1
Si1 Si 0.0000 0.5000 0.0000 1
Pt1 Pt 0.0261 0.5131 0.8722 1
Pt2 Pt 0.0332 0.5166 0.3673 1
```

Values from the calculation:
Formation energy without anion corrections   -0.491 eV/atom
Electronic total energy   -120.0 eV per formula unit

---

An optimized crystal structure of TaZnNF2, computed with PBE.

The structure in CIF format:
```
data_TaZnNF2
_chemical_formula_sum 'Ta1 Zn1 N1 F2'
_cell_length_a 3.532
_cell_length_b 3.532
_cell_length_c 5.992
_cell_angle_alpha 90.00
_cell_angle_beta 90.00
_cell_angle_gamma 90.00
_symmetry_space_group_name_H-M 'P 4/m m m'
_symmetry_Int_Tables_number 123
_symmetry_space_group_name_Hall '-P 4 2'
loop_
_atom_site_label
_atom_site_type_symbol
_atom_site_fract_x
_atom_site_fract_y
_atom_site_fract_z
_atom_site_occupancy
Ta1 Ta 0.000 0.000 0.000 1
Zn1 Zn 0.500 0.500 0.500 1
N1 N 0.500 0.500 0.000 1
F1 F 0.000 0.500 0.500 1
```

Values from the calculation:
Formation energy without anion corrections   -0.370 eV/atom
Electronic total energy   -27.0 eV per formula unit

---

An optimized crystal structure of BaIn2P, computed with PBE.

The structure in CIF format:
```
data_BaIn2P
_chemical_formula_sum 'Ba2 In4 P2'
_cell_length_a 12.251
_cell_length_b 3.796
_cell_length_c 5.518
_cell_angle_alpha 90.00
_cell_angle_beta 116.70
_cell_angle_gamma 90.00
_symmetry_space_group_name_H-M 'C 1 2/m 1'
_symmetry_Int_Tables_number 12
loop_
_symmetry_equiv_pos_as_xyz
'x,y,z'
'-x,-y,-z'
'-x,y,-z'
'x,-y,z'
'x+1/2,y+1/2,z'
'-x+1/2,-y+1/2,-z'
'-x+1/2,y+1/2,-z'
'x+1/2,-y+1/2,z'
loop_
_atom_site_label
_atom_site_type_symbol
_atom_site_fract_x
_atom_site_fract_y
_atom_site_fract_z
_atom_site_occupancy
Ba1 Ba 0.000 0.000 0.000 1
In1 In 0.198 0.000 0.698 1
P1 P 0.000 0.500 0.500 1
```

Values from the calculation:
Electronic total energy   -14.2 eV per formula unit
Energy of formation from the pure elements   -0.353 eV per atom

---

> electronic total energy of number 4 (BaIn2P)?

-14.2 eV per formula unit

---

> electronic total energy of number 3 (TaZnNF2)?

-27.0 eV per formula unit